No. 1
Material: Dy3In3Ag
Method: DFT, PBE
State: relaxed

Cell: 11.256 4.647 15.017 Å, 90.00 108.87 90.00°
Space group C2/m (No. 12)
Inequivalent atoms, fractional coordinates:
1 Dy 0.035 0.000 0.383 [4 per cell]
2 Dy 0.101 0.000 0.923 [4 per cell]
3 Dy 0.230 0.000 0.226 [4 per cell]
4 In 0.015 0.500 0.231 [4 per cell]
5 In 0.119 0.500 0.075 [4 per cell]
6 In 0.135 0.500 0.546 [4 per cell]
7 Ag 0.240 0.500 0.386 [4 per cell]

E   -110.67 eV/cell
ΔE_f   -0.399 eV per atom
Density   8.399 Mg/m³
Volume   26.544 Å³ per atom



No. 2
Material: Dy6InAg
Method: DFT, PBE
State: relaxed

Cell: 6.832 11.973 6.907 Å, 90.00 118.28 90.00°
Space group C2/m (No. 12)
Inequivalent atoms, fractional coordinates:
1 Dy 0.233 0.208 0.250 [8 per cell]
2 Dy 0.235 0.000 0.761 [4 per cell]
3 In 0.000 0.500 0.500 [2 per cell]
4 Ag 0.000 0.000 0.000 [2 per cell]

E   -64.64 eV/cell
ΔE_f   0.110 eV per atom
Density   7.994 Mg/m³
Volume   31.097 Å³ per atom



No. 3
Material: Dy2InAg3
Method: DFT, PBE
State: relaxed

Cell: 3.768 4.263 18.254 Å, 90.00 90.00 90.00°
Space group Imm2 (No. 44)
Inequivalent atoms, fractional coordinates:
1 Dy 0.000 0.000 0.000 [2 per cell]
2 Dy 0.000 0.500 0.260 [2 per cell]
3 In 0.000 0.000 0.591 [2 per cell]
4 Ag 0.000 0.000 0.437 [2 per cell]
5 Ag 0.000 0.500 0.682 [2 per cell]
6 Ag 0.000 0.500 0.831 [2 per cell]

E   -43.40 eV/cell
ΔE_f   -0.201 eV per atom
Density   8.648 Mg/m³
Volume   24.432 Å³ per atom



No. 4
Material: Dy4InAg2Ir
Method: DFT, PBE
State: relaxed

Cell: 5.1116 5.1116 24.9598 Å, 90.00 90.00 120.00°
Space group R-3m (No. 166, hexagonal axes)
Inequivalent atoms, fractional coordinates:
1 Dy 0.0000 0.0000 0.1141 [6 per cell]
2 Dy 0.0000 0.0000 0.3673 [6 per cell]
3 In 0.0000 0.0000 0.5000 [3 per cell]
4 Ag 0.0000 0.0000 0.2397 [6 per cell]
5 Ir 0.0000 0.0000 0.0000 [3 per cell]

E   -120.16 eV/cell
ΔE_f   -0.543 eV per atom
Density   10.344 Mg/m³
Volume   23.533 Å³ per atom



No. 5
Material: LiDyInAg
Method: DFT, PBE
State: relaxed

Cell: 6.896 6.896 6.896 Å, 90.00 90.00 90.00°
Space group F-43m (No. 216)
Inequivalent atoms, fractional coordinates:
1 Li 0.000 0.000 0.000 [4 per cell]
2 Dy 0.250 0.250 0.750 [4 per cell]
3 In 0.250 0.250 0.250 [4 per cell]
4 Ag 0.000 0.000 0.500 [4 per cell]

E   -54.54 eV/cell
ΔE_f   -0.383 eV per atom
Density   7.942 Mg/m³
Volume   20.497 Å³ per atom



No. 6
Material: LiDyIn2Ag4
Method: DFT, PBE
State: relaxed

Cell: 4.8351 4.8351 23.7893 Å, 90.00 90.00 120.00°
Space group R-3m (No. 166, hexagonal axes)
Inequivalent atoms, fractional coordinates:
1 Li 0.0000 0.0000 0.0000 [3 per cell]
2 Dy 0.0000 0.0000 0.5000 [3 per cell]
3 In 0.0000 0.0000 0.2482 [6 per cell]
4 Ag 0.0000 0.0000 0.1143 [6 per cell]
5 Ag 0.0000 0.0000 0.3697 [6 per cell]

E   -76.27 eV/cell
ΔE_f   -0.253 eV per atom
Density   8.590 Mg/m³
Volume   20.068 Å³ per atom



No. 7
Material: DyLuInAg
Method: DFT, PBE
State: relaxed

Cell: 7.350 7.350 7.350 Å, 90.00 90.00 90.00°
Space group F-43m (No. 216)
Inequivalent atoms, fractional coordinates:
1 Dy 0.000 0.000 0.000 [4 per cell]
2 Lu 0.000 0.000 0.500 [4 per cell]
3 In 0.250 0.250 0.250 [4 per cell]
4 Ag 0.250 0.250 0.750 [4 per cell]

E   -65.12 eV/cell
ΔE_f   -0.392 eV per atom
Density   9.371 Mg/m³
Volume   24.815 Å³ per atom



No. 8
Material: DyMg2In2Ag2
Method: DFT, PBE
State: relaxed

Cell: 4.8490 4.8490 23.4777 Å, 90.00 90.00 120.00°
Space group R-3m (No. 166, hexagonal axes)
Inequivalent atoms, fractional coordinates:
1 Dy 0.0000 0.0000 0.0000 [3 per cell]
2 Mg 0.0000 0.0000 0.1348 [6 per cell]
3 In 0.0000 0.0000 0.3992 [6 per cell]
4 Ag 0.0000 0.0000 0.2553 [6 per cell]

E   -61.88 eV/cell
ΔE_f   -0.237 eV per atom
Density   6.841 Mg/m³
Volume   22.765 Å³ per atom



No. 9
Material: DyMgInAg
Method: DFT, PBE
State: relaxed

Cell: 7.134 7.134 7.134 Å, 90.00 90.00 90.00°
Space group F-43m (No. 216)
Inequivalent atoms, fractional coordinates:
1 Dy 0.000 0.000 0.000 [4 per cell]
2 Mg 0.000 0.000 0.500 [4 per cell]
3 In 0.250 0.250 0.250 [4 per cell]
4 Ag 0.250 0.250 0.750 [4 per cell]

E   -52.72 eV/cell
ΔE_f   -0.348 eV per atom
Density   7.491 Mg/m³
Volume   22.692 Å³ per atom



No. 10
Material: NaDyInAg
Method: DFT, PBE
State: relaxed

Cell: 7.304 7.304 7.304 Å, 90.00 90.00 90.00°
Space group F-43m (No. 216)
Inequivalent atoms, fractional coordinates:
1 Na 0.000 0.000 0.000 [4 per cell]
2 Dy 0.000 0.000 0.500 [4 per cell]
3 In 0.250 0.250 0.250 [4 per cell]
4 Ag 0.250 0.250 0.750 [4 per cell]

E   -48.75 eV/cell
ΔE_f   -0.169 eV per atom
Density   6.957 Mg/m³
Volume   24.358 Å³ per atom



No. 11
Material: NdDyInAg
Method: DFT, PBE
State: relaxed

Cell: 7.551 7.551 7.551 Å, 90.00 90.00 90.00°
Space group F-43m (No. 216)
Inequivalent atoms, fractional coordinates:
1 Nd 0.000 0.000 0.000 [4 per cell]
2 Dy 0.000 0.000 0.500 [4 per cell]
3 In 0.250 0.250 0.750 [4 per cell]
4 Ag 0.250 0.250 0.250 [4 per cell]

E   -65.85 eV/cell
ΔE_f   -0.376 eV per atom
Density   8.166 Mg/m³
Volume   26.913 Å³ per atom



No. 12
Material: Nd2DyIn2Ag2
Method: DFT, PBE
State: relaxed

Cell: 4.8708 4.8708 27.3137 Å, 90.00 90.00 120.00°
Space group R-3m (No. 166, hexagonal axes)
Inequivalent atoms, fractional coordinates:
1 Nd 0.0000 0.0000 0.1256 [6 per cell]
2 Dy 0.0000 0.0000 0.0000 [3 per cell]
3 In 0.0000 0.0000 0.2646 [6 per cell]
4 Ag 0.0000 0.0000 0.3909 [6 per cell]

E   -82.20 eV/cell
ΔE_f   -0.298 eV per atom
Density   7.957 Mg/m³
Volume   26.723 Å³ per atom